Record 1
This record from Alexandria describes a geometry-optimized Si2SnAs2 structure. The functional is PBE-GGA.

Cell lengths 3.655, 3.655, 7.929 Å; angles 76.67, 76.67, 90.00 degrees
Element x y z (fractional)
Sn  0.000  0.000  0.000
As  0.612  0.612  0.776
As  0.388  0.388  0.224
Si  0.250  0.750  0.500
Si  0.750  0.250  0.500

Values from the calculation:
DFT total energy in eV per atom: -4.495
Size of the total moment in μB/cell: 0.00
Uncorrected formation energy in meV/atom: 335

---

Record 2
This record from Alexandria describes a geometry-optimized CsY3Sb structure. The functional is PBE-GGA.

Cell lengths 5.967, 5.967, 5.967 Å; angles 90.00, 90.00, 90.00 degrees
Element x y z (fractional)
Y  0.000  0.500  0.000
Y  0.000  0.000  0.500
Y  0.500  0.000  0.000
Sb  0.000  0.000  0.000
Cs  0.500  0.500  0.500

Values from the calculation:
DFT total energy in eV per atom: -4.649
Energy above the lowest structure with this stoichiometry in kJ/mol of formula units: 0.0
Size of the total moment in μB/cell: 3.43
Uncorrected formation energy in meV/atom: 225

---

Record 3
This record from Alexandria describes a geometry-optimized Li2Ga2Au structure. The functional is PBE-GGA.

Cell lengths 6.860, 6.860, 3.410 Å; angles 90.00, 90.00, 90.00 degrees
Element x y z (fractional)
Li  0.857  0.643  0.000
Li  0.643  0.143  0.000
Li  0.357  0.857  0.000
Li  0.143  0.357  0.000
Ga  0.344  0.156  0.500
Ga  0.844  0.344  0.500
Ga  0.156  0.656  0.500
Ga  0.656  0.844  0.500
Au  0.000  0.000  0.000
Au  0.500  0.500  0.000

Values from the calculation:
DFT total energy in eV per atom: -2.827
Energy above the lowest structure with this stoichiometry in kJ/mol of formula units: 110.1
Size of the total moment in μB/cell: 0.00
Energy relative to the elements in eV per atom: -0.1957

---

Record 4
This record from Alexandria describes a geometry-optimized CaHgAu2 structure. The functional is PBE-GGA.

Cell lengths 8.125, 8.125, 6.462 Å; angles 51.05, 51.05, 90.00 degrees
Element x y z (fractional)
Hg  0.750  0.250  0.500
Hg  0.000  0.000  0.000
Au  0.114  0.625  0.250
Au  0.636  0.125  0.250
Au  0.375  0.364  0.750
Au  0.875  0.886  0.750
Ca  0.250  0.750  0.500
Ca  0.500  0.500  0.000

Values from the calculation:
DFT total energy in eV per atom: -2.531
Size of the total moment in μB/cell: 0.00
Energy relative to the elements in eV per atom: -0.3161

---

Record 5
This record from Alexandria describes a geometry-optimized CeZnGa3Au structure. The functional is PBE-GGA.

Cell lengths 6.024, 5.389, 8.109 Å; angles 109.41, 90.00, 90.00 degrees
Element x y z (fractional)
Ga  0.500  0.271  0.000
Ga  0.000  0.271  0.000
Ga  0.000  0.729  0.000
Ga  0.500  0.729  0.000
Ga  0.250  0.110  0.219
Ga  0.750  0.890  0.781
Ce  0.250  0.683  0.367
Ce  0.750  0.317  0.633
Zn  0.250  0.881  0.762
Zn  0.750  0.119  0.238
Au  0.750  0.668  0.335
Au  0.250  0.332  0.665

Values from the calculation:
DFT total energy in eV per atom: -3.453
Size of the total moment in μB/cell: 1.74
Energy relative to the elements in eV per atom: -0.1919

---

Record 6
This record from Alexandria describes a geometry-optimized BaBr3 structure. The functional is PBE-GGA.

Cell lengths 4.892, 4.892, 6.083 Å; angles 90.00, 90.00, 90.06 degrees
Element x y z (fractional)
Br  0.500  0.500  0.762
Br  0.500  0.500  0.238
Br  0.000  0.000  0.500
Ba  0.000  0.000  0.000

Values from the calculation:
DFT total energy in eV per atom: -3.084
Size of the total moment in μB/cell: 0.19
Uncorrected formation energy in meV/atom: -1348

---

Record 7
This record from Alexandria describes a geometry-optimized LaHfZrSi2 structure. The functional is PBE-GGA.

Cell lengths 5.042, 5.042, 5.042 Å; angles 90.00, 90.00, 90.00 degrees
Element x y z (fractional)
Si  0.000  0.000  0.500
Si  0.500  0.000  0.000
Zr  0.000  0.500  0.000
La  0.500  0.500  0.500
Hf  0.000  0.000  0.000

Values from the calculation:
DFT total energy in eV per atom: -6.550
Size of the total moment in μB/cell: 0.00
Uncorrected formation energy in meV/atom: 305

---

Record 8
This record from Alexandria describes a geometry-optimized NaP3Ir structure. The functional is PBE-GGA.

Cell lengths 4.603, 4.603, 4.603 Å; angles 90.00, 90.00, 90.00 degrees
Element x y z (fractional)
P  0.000  0.500  0.000
P  0.000  0.000  0.500
P  0.500  0.000  0.000
Ir  0.500  0.500  0.500
Na  0.000  0.000  0.000

Values from the calculation:
DFT total energy in eV per atom: -3.297
Energy above the lowest structure with this stoichiometry in kJ/mol of formula units: 726.2
Size of the total moment in μB/cell: 0.00
Energy relative to the elements in eV per atom: 1.9854

---

Record 9
This record from Alexandria describes a geometry-optimized Fe2RuPt structure. The functional is PBE-GGA.

Cell lengths 4.289, 4.289, 4.289 Å; angles 60.00, 60.00, 60.00 degrees
Element x y z (fractional)
Fe  0.000  0.000  0.000
Fe  0.750  0.750  0.750
Ru  0.250  0.250  0.250
Pt  0.500  0.500  0.500

Values from the calculation:
DFT total energy in eV per atom: -7.861
Size of the total moment in μB/cell: 7.20
Energy relative to the elements in eV per atom: 0.1996

---

Record 10
This record from Alexandria describes a geometry-optimized PtCl3O structure. The functional is PBE-GGA.

Cell lengths 7.046, 6.509, 12.610 Å; angles 90.00, 90.95, 90.00 degrees
Element x y z (fractional)
Cl  0.668  0.747  0.944
Cl  0.332  0.747  0.556
Cl  0.216  0.490  0.781
Cl  0.668  0.253  0.444
Cl  0.888  0.285  0.972
Cl  0.784  0.510  0.219
Cl  0.784  0.490  0.719
Cl  0.112  0.285  0.528
Cl  0.216  0.510  0.281
Cl  0.888  0.715  0.472
Cl  0.332  0.253  0.056
Cl  0.112  0.715  0.028
Pt  0.060  0.389  0.124
Pt  0.940  0.611  0.876
Pt  0.940  0.389  0.376
Pt  0.060  0.611  0.624
O  0.976  0.879  0.699
O  0.024  0.879  0.801
O  0.024  0.121  0.301
O  0.976  0.121  0.199

Values from the calculation:
DFT total energy in eV per atom: -3.616
Energy above the lowest structure with this stoichiometry in kJ/mol of formula units: 0.0
Size of the total moment in μB/cell: 0.03
Uncorrected formation energy in meV/atom: -308

---

Record 11
This record from Alexandria describes a geometry-optimized PrMgGa2Pd structure. The functional is PBE-GGA.

Cell lengths 4.173, 4.173, 6.589 Å; angles 108.46, 108.46, 90.00 degrees
Element x y z (fractional)
Pr  0.000  0.000  0.000
Ga  0.393  0.393  0.785
Ga  0.607  0.607  0.215
Mg  0.750  0.250  0.500
Pd  0.250  0.750  0.500

Values from the calculation:
DFT total energy in eV per atom: -4.142
Size of the total moment in μB/cell: 0.00
Energy relative to the elements in eV per atom: -0.6179

---

Record 12
This record from Alexandria describes a geometry-optimized Pa3OsSe2 structure. The functional is PBE-GGA.

Cell lengths 9.102, 9.102, 9.102 Å; angles 154.33, 154.33, 36.62 degrees
Element x y z (fractional)
Os  0.000  0.000  0.000
Pa  0.500  0.500  0.000
Pa  0.842  0.842  0.000
Pa  0.158  0.158  0.000
Se  0.328  0.328  0.000
Se  0.672  0.672  0.000

Values from the calculation:
DFT total energy in eV per atom: -8.689
Size of the total moment in μB/cell: 0.00
Uncorrected formation energy in meV/atom: -908

---

Which of these has the lowest DFT total energy?
Pa3OsSe2